[1]
Compound: Sb2PBr
Source: Alexandria
Functional: PBEsol
Structure: relaxed

For the magnetic moment, the calculation gives 0.00 μB per cell. Its crystal system is orthorhombic. The formation energy without anion corrections is 0.8 eV/f.u. As for the theoretical density: 6.213 g cm⁻³.

The structure belongs to space group Cmmm (No. 65); the cell edges are 3.612, 5.887 and 8.909 Å and the angles 90.00°, 90.00° and 90.00°. Symmetry generates all atoms from Sb at (0.000, 0.000, 0.223), P at (0.000, 0.500, 0.000) and Br at (0.000, 0.500, 0.500).

---

[2]
Compound: YAl10Ru2
Source: Alexandria
Functional: PBEsol
Structure: relaxed

The value obtained for the formation energy is -0.51 eV/atom. For the magnetic moment, the calculation gives 0.00 μB per cell. Its crystal system is orthorhombic. As for the theoretical density: 4.474 g cm⁻³.

The structure belongs to space group Cmcm (No. 63); the cell edges are 9.026, 10.173 and 9.067 Å and the angles 90.00°, 90.00° and 90.00°. Symmetry generates all atoms from Y at (0.000, 0.128, 0.250), Al at (0.000, 0.157, 0.600), Al at (0.000, 0.376, 0.050), Al at (0.151, 0.370, 0.750), Al at (0.223, 0.364, 0.250), Al at (0.225, 0.000, 0.000) and Ru at (0.250, 0.250, 0.000).

---

[3]
Compound: LiCa2Ge3
Source: Alexandria
Functional: PBEsol
Structure: relaxed

The value obtained for the formation energy is -0.61 eV/atom. For the magnetic moment, the calculation gives 0.00 μB per cell. Its crystal system is orthorhombic. As for the theoretical density: 3.877 g cm⁻³.

The structure belongs to space group Pnnm (No. 58); the cell edges are 10.622, 11.264 and 4.367 Å and the angles 90.00°, 90.00° and 90.00°. Symmetry generates all atoms from Li at (0.137, 0.218, 0.000), Ca at (0.052, 0.647, 0.500), Ca at (0.179, 0.929, 0.000), Ge at (0.027, 0.105, 0.500), Ge at (0.111, 0.455, 0.000) and Ge at (0.243, 0.643, 0.000).

---

[4]
Compound: Zn2ReRu
Source: Alexandria
Functional: PBEsol
Structure: relaxed

The value obtained for the formation energy is -0.03 eV/atom. For the magnetic moment, the calculation gives 0.00 μB per cell. Its crystal system is tetragonal. As for the theoretical density: 12.669 g cm⁻³.

The structure belongs to space group P4mm (No. 99); the cell edges are 2.832, 2.832 and 6.833 Å and the angles 90.00°, 90.00° and 90.00°. Symmetry generates all atoms from Zn at (0.000, 0.000, 0.000), Zn at (0.500, 0.500, 0.246), Re at (0.000, 0.000, 0.511) and Ru at (0.500, 0.500, 0.749).

---

[5]
Compound: TeMo2SeS2
Source: Alexandria
Functional: PBEsol
Structure: relaxed

For the magnetic moment, the calculation gives 0.00 μB per cell. Its crystal system is trigonal. The formation energy without anion corrections is -4.1 eV/f.u. As for the theoretical density: 6.447 g cm⁻³.

The structure belongs to space group P3m1 (No. 156); the cell edges are 3.2532, 3.2532 and 25.9995 Å and the angles 90.00°, 90.00° and 120.00°. Symmetry generates all atoms from Te at (0.0000, 0.0000, 0.0000), Te at (0.0000, 0.0000, 0.1467), Mo at (0.0000, 0.0000, 0.3286), Mo at (0.0000, 0.0000, 0.8088), Mo at (0.6667, 0.3333, 0.0734), Mo at (0.6667, 0.3333, 0.5651), Se at (0.6667, 0.3333, 0.7445), Se at (0.6667, 0.3333, 0.8731), S at (0.0000, 0.0000, 0.5067), S at (0.0000, 0.0000, 0.6236), S at (0.6667, 0.3333, 0.2701) and S at (0.6667, 0.3333, 0.3870).

---

[6]
Compound: YErAl6
Source: Alexandria
Functional: PBEsol
Structure: relaxed

The value obtained for the formation energy is -0.44 eV/atom. For the magnetic moment, the calculation gives 0.00 μB per cell. Its crystal system is trigonal. As for the theoretical density: 4.626 g cm⁻³.

The structure belongs to space group R3m (No. 160, hexagonal axes); the cell edges are 6.0806, 6.0806 and 42.1773 Å and the angles 90.00°, 90.00° and 120.00°. Symmetry generates all atoms from Y at (0.0000, 0.0000, 0.0000), Y at (0.0000, 0.0000, 0.2189), Y at (0.0000, 0.0000, 0.7191), Er at (0.0000, 0.0000, 0.1095), Er at (0.0000, 0.0000, 0.5000), Er at (0.0000, 0.0000, 0.6095), Al at (0.0003, 0.5002, 0.6094), Al at (0.0013, 0.5007, 0.1097), Al at (0.0336, 0.5168, 0.4979), Al at (0.0336, 0.5168, 0.9979), Al at (0.1830, 0.3661, 0.5542) and Al at (0.1835, 0.3669, 0.0545).